Arrangement i

A crystal of IrOs2Ru relaxed with PBEsol. Source: Alexandria, functional SCAN.

abc: 3.8049 3.8049 7.6336
angles: 90.00 90.00 90.00
Closest atoms and distances in Å follow each position.
Space group I4/mmm (No. 139)
Unique sites:
Ir (0.0000, 0.0000, 0.0000) [2 per cell]  4 Ru 2.69, 8 Os 2.69
Os (0.0000, 0.5000, 0.2500) [4 per cell]  4 Os 2.69, 4 Ir 2.69, 4 Ru 2.69
Ru (0.0000, 0.0000, 0.5000) [2 per cell]  4 Ir 2.69, 8 Os 2.69



Arrangement ii

A crystal of IrOs2Ru relaxed with PBEsol. Source: Alexandria, functional SCAN.

abc: 2.6953 2.6953 26.3900
angles: 90.00 90.00 120.00
Closest atoms and distances in Å follow each position.
Space group R3m (No. 160, hexagonal axes)
Unique sites:
Ir (0.0000, 0.0000, 0.0000) [3 per cell]  6 Ir 2.70, 3 Ru 2.70, 3 Os 2.72
Os (0.0000, 0.0000, 0.5006) [3 per cell]  3 Ru 2.67, 9 Os 2.69-2.70
Os (0.0000, 0.0000, 0.7510) [3 per cell]  9 Os 2.69-2.70, 3 Ir 2.72
Ru (0.0000, 0.0000, 0.2495) [3 per cell]  3 Os 2.67, 6 Ru 2.70, 3 Ir 2.70



We find arrangement i to be the most stable, with the next structure 1.7 kJ/mol of atoms higher.